Entry 1:
InSiW2 | PBE | optimized geometry

Results
energy above the lowest structure with this stoichiometry = 0.205 eV per atom

a b c (Å): 3.3790 4.5241 9.2247
angles (deg): 90.00 90.00 90.00
Space group Cmm2 (No. 35)
Inequivalent atoms, fractional coordinates:
1 In 0.0000 0.0000 0.0000 x2
2 Si 0.0000 0.5000 0.2936 x2
3 W 0.0000 0.0000 0.5035 x2
4 W 0.0000 0.5000 0.7357 x2



Entry 2:
InSi3W | PBE | optimized geometry

Results
energy above the lowest structure with this stoichiometry = 1.787 eV per atom

a b c (Å): 4.8657 4.8657 4.8657
angles (deg): 90.00 90.00 90.00
Space group Pm-3m (No. 221)
Inequivalent atoms, fractional coordinates:
1 In 0.0000 0.0000 0.0000 x1
2 Si 0.0000 0.0000 0.5000 x3
3 W 0.5000 0.5000 0.5000 x1



Entry 3:
In2SiW | PBE | optimized geometry

a b c (Å): 7.8327 7.8327 5.3860
angles (deg): 90.00 90.00 90.00
Space group I-42d (No. 122)
Inequivalent atoms, fractional coordinates:
1 In 0.2440 0.2500 0.1250 x8
2 Si 0.0000 0.0000 0.0000 x4
3 W 0.0000 0.0000 0.5000 x4



Entry 4:
In2SiW | PBE | optimized geometry

a b c (Å): 3.7228 4.3502 9.0794
angles (deg): 90.00 90.00 90.00
Space group Immm (No. 71)
Inequivalent atoms, fractional coordinates:
1 In 0.0000 0.0000 0.2410 x4
2 Si 0.0000 0.5000 0.5000 x2
3 W 0.0000 0.5000 0.0000 x2



Entry 5:
InSiW2 | PBE | optimized geometry

Results
energy above the lowest structure with this stoichiometry = 0.373 eV per atom

a b c (Å): 3.2498 4.4054 4.6557
angles (deg): 90.00 90.00 90.00
Space group Pmmm (No. 47)
Inequivalent atoms, fractional coordinates:
1 In 0.0000 0.0000 0.0000 x1
2 Si 0.5000 0.0000 0.5000 x1
3 W 0.0000 0.5000 0.5000 x1
4 W 0.5000 0.5000 0.0000 x1



Entry 6:
In2SiW | PBE | optimized geometry

a b c (Å): 6.7362 6.7362 6.7362
angles (deg): 90.00 90.00 90.00
Space group F-43m (No. 216)
Inequivalent atoms, fractional coordinates:
1 In 0.0000 0.0000 0.0000 x4
2 In 0.2500 0.2500 0.2500 x4
3 Si 0.2500 0.2500 0.7500 x4
4 W 0.0000 0.0000 0.5000 x4



no.,DFT total energy (eV per atom),ΔE_f (raw) (eV/atom),density (g/cm3)
1,-8.100,0.417,12.0
2,-4.111,2.281,5.5
3,-4.984,0.979,8.9
4,-5.304,0.659,10.0
5,-7.932,0.585,12.7
6,-5.073,0.890,9.6